(1)
Entry from Alexandria: a relaxed YHI2O crystal (PBE).

a b c (Å): 5.375 5.375 3.512
angles (deg): 90.00 90.00 90.00
Space group P4/mmm (No. 123)
Symmetry-distinct sites (fractional):
Y (0.000, 0.000, 0.000) (multiplicity 1)
H (0.500, 0.500, 0.500) (multiplicity 1)
I (0.000, 0.500, 0.500) (multiplicity 2)
O (0.500, 0.500, 0.000) (multiplicity 1)

## Properties
**Crystal system**: tetragonal
**Raw total energy**: -3.66 eV per atom
**Relative energy among the computed polymorphs**: 611 meV per atom

---

(2)
Entry from Alexandria: a relaxed InNiTe2N crystal (PBE).

a b c (Å): 5.604 5.604 3.452
angles (deg): 90.00 90.00 90.00
Space group P4/mmm (No. 123)
Symmetry-distinct sites (fractional):
In (0.000, 0.000, 0.000) (multiplicity 1)
Ni (0.500, 0.500, 0.500) (multiplicity 1)
Te (0.000, 0.500, 0.500) (multiplicity 2)
N (0.500, 0.500, 0.000) (multiplicity 1)

## Properties
**Crystal system**: tetragonal
**Raw total energy**: -4.30 eV per atom
**Uncorrected formation energy**: 0.33 eV/atom
**Relative energy among the computed polymorphs**: 0 meV per atom

---

(3)
Entry from Alexandria: a relaxed Tb15Pm4Pr crystal (PBE).

a b c (Å): 5.077 5.077 25.307
angles (deg): 90.00 90.00 90.00
Space group P4/mmm (No. 123)
Symmetry-distinct sites (fractional):
Tb (0.000, 0.000, 0.000) (multiplicity 1)
Tb (0.000, 0.000, 0.200) (multiplicity 2)
Tb (0.000, 0.000, 0.400) (multiplicity 2)
Tb (0.000, 0.500, 0.101) (multiplicity 4)
Tb (0.000, 0.500, 0.300) (multiplicity 4)
Tb (0.000, 0.500, 0.500) (multiplicity 2)
Pm (0.500, 0.500, 0.200) (multiplicity 2)
Pm (0.500, 0.500, 0.400) (multiplicity 2)
Pr (0.500, 0.500, 0.000) (multiplicity 1)

## Properties
**Crystal system**: tetragonal
**Raw total energy**: -4.65 eV per atom

---

(4)
Entry from Alexandria: a relaxed KZrBe3 crystal (PBE).

a b c (Å): 5.084 5.084 5.084
angles (deg): 90.00 90.00 90.00
Space group Pm-3m (No. 221)
Symmetry-distinct sites (fractional):
K (0.000, 0.000, 0.000) (multiplicity 1)
Zr (0.500, 0.500, 0.500) (multiplicity 1)
Be (0.000, 0.500, 0.500) (multiplicity 3)

## Properties
**Crystal system**: cubic
**Raw total energy**: -2.77 eV per atom
**Relative energy among the computed polymorphs**: 0 meV per atom

---

(5)
Entry from Alexandria: a relaxed Li2ZrHg crystal (PBE).

a b c (Å): 3.257 3.257 7.316
angles (deg): 90.00 90.00 90.00
Space group P4mm (No. 99)
Symmetry-distinct sites (fractional):
Li (0.000, 0.000, 0.000) (multiplicity 1)
Li (0.500, 0.500, 0.219) (multiplicity 1)
Zr (0.000, 0.000, 0.512) (multiplicity 1)
Hg (0.500, 0.500, 0.785) (multiplicity 1)

## Properties
**Crystal system**: tetragonal
**Raw total energy**: -3.19 eV per atom

---

(6)
Entry from Alexandria: a relaxed SrCoP2S crystal (PBE).

a b c (Å): 5.500 5.500 5.366
angles (deg): 90.00 90.00 90.00
Space group P4/mmm (No. 123)
Symmetry-distinct sites (fractional):
Sr (0.000, 0.000, 0.000) (multiplicity 1)
Co (0.500, 0.500, 0.500) (multiplicity 1)
P (0.000, 0.500, 0.000) (multiplicity 2)
S (0.000, 0.000, 0.500) (multiplicity 1)

## Properties
**Crystal system**: tetragonal
**Raw total energy**: -3.16 eV per atom
**Uncorrected formation energy**: 1.58 eV/atom
**Relative energy among the computed polymorphs**: 1974 meV per atom

---

(7)
Entry from Alexandria: a relaxed La3Al4Ga2 crystal (PBE).

a b c (Å): 11.700 4.414 8.842
angles (deg): 90.00 100.57 90.00
Space group C2/m (No. 12)
Symmetry-distinct sites (fractional):
La (0.000, 0.000, 0.000) (multiplicity 2)
La (0.168, 0.500, 0.665) (multiplicity 4)
Al (0.053, 0.000, 0.385) (multiplicity 4)
Al (0.224, 0.500, 0.060) (multiplicity 4)
Ga (0.111, 0.500, 0.279) (multiplicity 4)

## Properties
**Crystal system**: monoclinic
**Raw total energy**: -4.53 eV per atom

---

(8)
Entry from Alexandria: a relaxed LaCe2GeN5 crystal (PBE).

a b c (Å): 6.679 6.679 11.367
angles (deg): 90.00 90.00 90.00
Space group I4/mcm (No. 140)
Symmetry-distinct sites (fractional):
La (0.000, 0.000, 0.250) (multiplicity 4)
Ce (0.182, 0.318, 0.000) (multiplicity 8)
Ge (0.000, 0.500, 0.250) (multiplicity 4)
N (0.000, 0.000, 0.000) (multiplicity 4)
N (0.149, 0.351, 0.358) (multiplicity 16)

## Properties
**Crystal system**: tetragonal
**Raw total energy**: -8.11 eV per atom
**Uncorrected formation energy**: -1.11 eV/atom

---

(9)
Entry from Alexandria: a relaxed V2HCl crystal (PBE).

a b c (Å): 4.587 4.587 9.544
angles (deg): 90.00 90.00 90.00
Space group I-42d (No. 122)
Symmetry-distinct sites (fractional):
V (0.152, 0.250, 0.125) (multiplicity 8)
H (0.000, 0.000, 0.000) (multiplicity 4)
Cl (0.000, 0.000, 0.500) (multiplicity 4)

## Properties
**Crystal system**: tetragonal
**Raw total energy**: -5.72 eV per atom
**Relative energy among the computed polymorphs**: 0 meV per atom

---

(10)
Entry from Alexandria: a relaxed SrSm2PtO5 crystal (PBE).

a b c (Å): 6.681 6.681 5.911
angles (deg): 90.00 90.00 90.00
Space group P4/mbm (No. 127)
Symmetry-distinct sites (fractional):
Sr (0.000, 0.000, 0.000) (multiplicity 2)
Sm (0.174, 0.326, 0.500) (multiplicity 4)
Pt (0.000, 0.500, 0.000) (multiplicity 2)
O (0.000, 0.000, 0.500) (multiplicity 2)
O (0.143, 0.643, 0.253) (multiplicity 8)

## Properties
**Crystal system**: tetragonal
**Raw total energy**: -7.27 eV per atom
**Uncorrected formation energy**: -2.60 eV/atom

---

(11)
Entry from Alexandria: a relaxed Li2NbP2O8 crystal (PBE).

a b c (Å): 5.0007 5.0007 7.3548
angles (deg): 90.00 90.00 120.00
Space group P-3 (No. 147)
Symmetry-distinct sites (fractional):
Li (0.3333, 0.6667, 0.1979) (multiplicity 2)
Nb (0.0000, 0.0000, 0.5000) (multiplicity 1)
P (0.3333, 0.6667, 0.7444) (multiplicity 2)
O (0.0515, 0.6895, 0.6654) (multiplicity 6)
O (0.3333, 0.6667, 0.9462) (multiplicity 2)

## Properties
**Crystal system**: trigonal
**Raw total energy**: -7.24 eV per atom
**Uncorrected formation energy**: -2.28 eV/atom
**Relative energy among the computed polymorphs**: 42 meV per atom

---

(12)
Entry from Alexandria: a relaxed ThZrCoOs crystal (PBE).

a b c (Å): 6.772 6.772 6.772
angles (deg): 90.00 90.00 90.00
Space group F-43m (No. 216)
Symmetry-distinct sites (fractional):
Th (0.000, 0.000, 0.000) (multiplicity 4)
Zr (0.000, 0.000, 0.500) (multiplicity 4)
Co (0.250, 0.250, 0.750) (multiplicity 4)
Os (0.250, 0.250, 0.250) (multiplicity 4)

## Properties
**Crystal system**: cubic
**Raw total energy**: -8.75 eV per atom